Below is crystalline TaNb3Ru at its relaxed geometry, with properties calculated at the PBE level.

space-group type = No. 221
formation enthalpy at 0 K = 1787 meV/atom
offset from the most stable computed form = 1859 meV per atom

Lattice parameters (Å, degrees): 4.8160 4.8160 4.8160 90.00 90.00 90.00
With the nearest neighbours (Å) after each atom.
Sites, in units of the cell vectors:
Ta 0.0000 0.0000 0.0000  6 Nb 2.41
Nb 0.0000 0.0000 0.5000  2 Ta 2.41
Nb 0.0000 0.5000 0.0000  2 Ta 2.41
Nb 0.5000 0.0000 0.0000  2 Ta 2.41
Ru 0.5000 0.5000 0.5000  12 Nb 3.41